First-principles (meta-GGA SCAN) data for a crystal of ScZnSe2 relaxed with PBEsol, as listed in Alexandria.

CIF file:
```
data_ScZnSe2
_chemical_formula_sum 'Sc2 Zn2 Se4'
_cell_length_a 6.985
_cell_length_b 6.985
_cell_length_c 6.985
_cell_angle_alpha 129.24
_cell_angle_beta 129.24
_cell_angle_gamma 74.62
_symmetry_space_group_name_H-M 'P 1'
_symmetry_Int_Tables_number 1
_symmetry_space_group_name_Hall 'P 1'
loop_
_atom_site_label
_atom_site_fract_x
_atom_site_fract_y
_atom_site_fract_z
_atom_site_occupancy
Sc1 0.000 0.000 0.000 1
Sc2 0.750 0.250 0.500 1
Zn1 0.250 0.750 0.500 1
Zn2 0.500 0.500 0.000 1
Se1 0.147 0.625 0.022 1
Se2 0.375 0.397 0.522 1
Se3 0.603 0.125 0.978 1
Se4 0.875 0.853 0.478 1
```

SG   I-42d, No. 122


First-principles (meta-GGA SCAN) data for a crystal of ScZnSe4 relaxed with PBEsol, as listed in Alexandria.

CIF file:
```
data_ScZnSe4
_chemical_formula_sum 'Sc1 Zn1 Se4'
_cell_length_a 5.614
_cell_length_b 5.614
_cell_length_c 5.614
_cell_angle_alpha 60.00
_cell_angle_beta 60.00
_cell_angle_gamma 60.00
_symmetry_space_group_name_H-M 'P 1'
_symmetry_Int_Tables_number 1
_symmetry_space_group_name_Hall 'P 1'
loop_
_atom_site_label
_atom_site_fract_x
_atom_site_fract_y
_atom_site_fract_z
_atom_site_occupancy
Sc1 0.000 0.000 0.000 1
Zn1 0.250 0.250 0.250 1
Se1 0.125 0.625 0.625 1
Se2 0.625 0.125 0.625 1
Se3 0.625 0.625 0.125 1
Se4 0.625 0.625 0.625 1
```

SG   F-43m, No. 216


First-principles (meta-GGA SCAN) data for a crystal of ScZnSe2 relaxed with PBEsol, as listed in Alexandria.

CIF file:
```
data_ScZnSe2
_chemical_formula_sum 'Sc1 Zn1 Se2'
_cell_length_a 6.968
_cell_length_b 6.968
_cell_length_c 6.968
_cell_angle_alpha 30.83
_cell_angle_beta 30.83
_cell_angle_gamma 30.83
_symmetry_space_group_name_H-M 'P 1'
_symmetry_Int_Tables_number 1
_symmetry_space_group_name_Hall 'P 1'
loop_
_atom_site_label
_atom_site_fract_x
_atom_site_fract_y
_atom_site_fract_z
_atom_site_occupancy
Sc1 0.000 0.000 0.000 1
Zn1 0.500 0.500 0.500 1
Se1 0.250 0.250 0.250 1
Se2 0.750 0.750 0.750 1
```

SG   R-3m, No. 166


First-principles (meta-GGA SCAN) data for a crystal of ScZnSe2 relaxed with PBEsol, as listed in Alexandria.

CIF file:
```
data_ScZnSe2
_chemical_formula_sum 'Sc1 Zn1 Se2'
_cell_length_a 3.785
_cell_length_b 5.885
_cell_length_c 5.885
_cell_angle_alpha 35.79
_cell_angle_beta 90.00
_cell_angle_gamma 90.00
_symmetry_space_group_name_H-M 'P 1'
_symmetry_Int_Tables_number 1
_symmetry_space_group_name_Hall 'P 1'
loop_
_atom_site_label
_atom_site_fract_x
_atom_site_fract_y
_atom_site_fract_z
_atom_site_occupancy
Sc1 0.000 0.000 0.000 1
Zn1 0.500 0.796 0.796 1
Se1 0.000 0.315 0.315 1
Se2 0.500 0.576 0.576 1
```

SG   Amm2, No. 38


Uncorrected energy list, top to bottom, in eV per atom: -17.98; -17.78; -18.08; -18.19